No. 1
A geometry-optimized Ac2Ga2Sn3 structure. Source: the Alexandria database, functional PBE.

```
Ac2Ga2Sn3
1.0
-1.9631 2.4950 -3.1845
3.7985 -4.6100 -2.7787
-5.6453 -4.5975 -0.1219
Ac Ga Sn
2 2 3
direct
0.6398 0.2796 0.2803
0.3602 0.7204 0.7197
0.0837 0.1675 0.5977
0.9163 0.8325 0.4023
0.3499 0.6998 0.2086
0.0000 0.0000 0.0000
0.6501 0.3002 0.7914
```

Values from the calculation:
Volume ... 202.8 Å³/cell
Total energy ... -30.2 eV for the cell shown
ΔE_f ... -54.0 kJ per mole of atoms
Symmetry ... C2/m
N(E_F) ... 2.7 states/eV/f.u.


No. 2
A geometry-optimized AcGaSn structure. Source: the Alexandria database, functional PBE.

```
AcGaSn
1.0
4.5035 0.0000 -0.1463
0.0000 4.9325 0.0000
-1.9928 -2.4663 7.9463
Ac Ga Sn
2 2 2
direct
0.6340 0.8811 0.7623
0.3660 0.1189 0.2377
0.2149 0.4650 0.9301
0.7851 0.5350 0.0699
0.0565 0.2968 0.5937
0.9435 0.7032 0.4063
```

Values from the calculation:
Volume ... 175.1 Å³/cell
Total energy ... -25.9 eV for the cell shown
ΔE_f ... -58.2 kJ per mole of atoms
Symmetry ... C2/m
Offset from the most stable computed form ... 49.3 meV/atom
N(E_F) ... 0.9 states/eV/f.u.


No. 3
A geometry-optimized AcGaSn structure. Source: the Alexandria database, functional PBE.

```
AcGaSn
1.0
4.5357 0.0000 -1.2060
-0.3206 4.5243 -1.2060
-0.1353 -0.1452 8.6237
Ac Ga Sn
2 2 2
direct
0.2500 0.7500 0.5000
0.5000 0.5000 0.0000
0.9225 0.9225 0.8449
0.0775 0.0775 0.1551
0.8388 0.3388 0.6776
0.6612 0.1612 0.3224
```

Values from the calculation:
Volume ... 175.4 Å³/cell
Total energy ... -25.8 eV for the cell shown
ΔE_f ... -57.4 kJ per mole of atoms
Symmetry ... I-4m2
Offset from the most stable computed form ... 56.8 meV/atom
N(E_F) ... 1.4 states/eV/f.u.


No. 4
A geometry-optimized Ac2Ga6Sn structure. Source: the Alexandria database, functional PBE.

```
Ac2Ga6Sn
1.0
6.0242 0.2428 -0.3966
-0.4053 5.7730 -2.6240
0.4400 -0.5980 6.3105
Ac Ga Sn
2 6 1
direct
0.1470 0.6666 0.3332
0.8530 0.3334 0.6668
0.6485 0.8155 0.1847
0.6486 0.8154 0.6309
0.6485 0.3693 0.1848
0.3515 0.1845 0.8153
0.3514 0.1846 0.3691
0.3515 0.6307 0.8152
0.0000 0.0000 0.0000
```

Values from the calculation:
Volume ... 211.3 Å³/cell
Total energy ... -34.4 eV for the cell shown
ΔE_f ... -43.5 kJ per mole of atoms
Symmetry ... P-3m1
N(E_F) ... 4.8 states/eV/f.u.


No. 5
A geometry-optimized Ac12Ga6Sn structure. Source: the Alexandria database, functional PBE.

```
Ac12Ga6Sn
1.0
-1.1281 8.2368 4.8540
-6.6115 -6.2971 3.0519
8.7409 -3.5381 1.9381
Ac Ga Sn
12 6 1
direct
0.8511 0.6168 0.5294
0.5294 0.8511 0.6168
0.6168 0.5294 0.8511
0.1489 0.3832 0.4706
0.4706 0.1489 0.3832
0.3832 0.4706 0.1489
0.9986 0.8489 0.2995
0.1511 0.7005 0.0014
0.7005 0.0014 0.1511
0.0014 0.1511 0.7005
0.8489 0.2995 0.9986
0.2995 0.9986 0.8489
0.6901 0.8259 0.3740
0.6260 0.3099 0.1741
0.1741 0.6260 0.3099
0.3099 0.1741 0.6260
0.3740 0.6901 0.8259
0.8259 0.3740 0.6901
0.0000 0.0000 0.0000
```

Values from the calculation:
Volume ... 707.6 Å³/cell
Total energy ... -75.7 eV for the cell shown
ΔE_f ... -21.8 kJ per mole of atoms
Symmetry ... R-3
N(E_F) ... 20.5 states/eV/f.u.


No. 6
A geometry-optimized Ac3Ga3Sn2 structure. Source: the Alexandria database, functional PBE.

```
Ac3Ga3Sn2
1.0
-2.9358 -1.4281 3.3673
1.6982 -5.0292 -3.9186
12.5178 -3.2144 9.5503
Ac Ga Sn
6 6 4
direct
0.9421 0.8842 0.3891
0.0579 0.1158 0.8891
0.9421 0.8842 0.1109
0.0579 0.1158 0.6109
0.6556 0.3111 0.2500
0.3444 0.6889 0.7500
0.6224 0.2448 0.4616
0.3776 0.7552 0.9616
0.6224 0.2448 0.0384
0.3776 0.7552 0.5384
0.3817 0.7635 0.2500
0.6183 0.2365 0.7500
0.7685 0.5370 0.8955
0.2315 0.4630 0.3955
0.7685 0.5370 0.6045
0.2315 0.4630 0.1045
```

Values from the calculation:
Volume ... 464.8 Å³/cell
Total energy ... -67.6 eV for the cell shown
ΔE_f ... -53.1 kJ per mole of atoms
Symmetry ... Cmcm
Offset from the most stable computed form ... 48.7 meV/atom
N(E_F) ... 5.5 states/eV/f.u.


Among the records above, which one has the lowest ΔE_f? number 2